# 1
A plane-wave DFT calculation with SCAN was carried out for a PBEsol-optimized structure of Ta2InAs.

Output
The value obtained for the formation energy from the elements is 87 meV per atom. As for the volume: 147.4 Å³/cell. The calculation puts the energy above the most stable polymorph in this dataset at 0.000 eV/atom. The calculation puts the total energy at -46.5989 eV per atom.

abc: 4.834 2.930 10.404
angles: 90.00 90.00 90.00
Space group Amm2 (No. 38)
Unique sites:
1 Ta 0.000 0.000 0.000 (multiplicity 2)
2 Ta 0.500 0.000 0.371 (multiplicity 2)
3 In 0.500 0.000 0.632 (multiplicity 2)
4 As 0.000 0.000 0.279 (multiplicity 2)

=====

# 2
A plane-wave DFT calculation with SCAN was carried out for a PBEsol-optimized structure of BeCo2Mo.

Output
The value obtained for the formation energy from the elements is -6 meV per atom. As for the volume: 86.1 Å³/cell. The calculation puts the total energy at -18.4680 eV per atom.

abc: 3.568 3.568 6.767
angles: 90.00 90.00 90.00
Space group I4/mmm (No. 139)
Unique sites:
1 Be 0.000 0.000 0.000 (multiplicity 2)
2 Co 0.000 0.500 0.250 (multiplicity 4)
3 Mo 0.000 0.000 0.500 (multiplicity 2)

=====

# 3
A plane-wave DFT calculation with SCAN was carried out for a PBEsol-optimized structure of LiAu2.

Output
The value obtained for the formation energy from the elements is -433 meV per atom. As for the volume: 190.1 Å³/cell. The calculation puts the total energy at -47.3347 eV per atom.

abc: 10.405 2.805 6.827
angles: 90.00 107.39 90.00
Space group C2/m (No. 12)
Unique sites:
1 Li 0.184 0.000 0.156 (multiplicity 4)
2 Au 0.043 0.500 0.826 (multiplicity 4)
3 Au 0.142 0.000 0.536 (multiplicity 4)

=====

# 4
A plane-wave DFT calculation with SCAN was carried out for a PBEsol-optimized structure of Li2CoIr.

Output
The value obtained for the formation energy from the elements is -156 meV per atom. As for the volume: 48.3 Å³/cell. The calculation puts the energy above the most stable polymorph in this dataset at 0.005 eV/atom. The calculation puts the total energy at -23.4514 eV per atom.

abc: 2.619 4.241 4.346
angles: 90.00 90.00 90.00
Space group Pmmm (No. 47)
Unique sites:
1 Li 0.000 0.000 0.000 (multiplicity 1)
2 Li 0.500 0.500 0.000 (multiplicity 1)
3 Co 0.000 0.500 0.500 (multiplicity 1)
4 Ir 0.500 0.000 0.500 (multiplicity 1)

=====

Question: formation energy from the elements of number 3 (LiAu2)?
Answer: -433 meV per atom

=====

Repeat the first record exactly.
A plane-wave DFT calculation with SCAN was carried out for a PBEsol-optimized structure of Ta2InAs.

Output
The value obtained for the formation energy from the elements is 87 meV per atom. As for the volume: 147.4 Å³/cell. The calculation puts the energy above the most stable polymorph in this dataset at 0.000 eV/atom. The calculation puts the total energy at -46.5989 eV per atom.

abc: 4.834 2.930 10.404
angles: 90.00 90.00 90.00
Space group Amm2 (No. 38)
Unique sites:
1 Ta 0.000 0.000 0.000 (multiplicity 2)
2 Ta 0.500 0.000 0.371 (multiplicity 2)
3 In 0.500 0.000 0.632 (multiplicity 2)
4 As 0.000 0.000 0.279 (multiplicity 2)

=====

Question: volume of number 1 (Ta2InAs)?
Answer: 147.4 Å³/cell